Material: PaI3
Method: DFT, PBE
State: optimized geometry

Output
Size of the total moment: 1.86 μB per cell
Formation energy (no corrections): -0.85 eV/atom
Density of states at the Fermi level: 4.740 states/eV/f.u.

Unit cell a=7.706 b=7.706 c=7.706 alpha=150.30 beta=69.96 gamma=118.30
Element x y z (fractional)
Pa 0.000 0.000 0.000
I 0.011 0.346 0.666
I 0.306 0.806 0.500
I 0.680 0.346 0.334